[1]
Density functional theory data (PBE-GGA) for a geometry-optimized KBaIr2 structure.

POSCAR file:
```
KBaIr2
1.0
4.934 0.000 0.000
0.000 4.316 0.000
0.000 0.000 4.316
Ba Ir K
1 2 1
direct
0.500 0.000 0.500
0.000 0.500 0.500
0.000 0.000 0.000
0.500 0.500 0.000
```

Results
The energy of formation from the pure elements is 3.30 eV per formula unit.

***

[2]
Density functional theory data (PBE-GGA) for a geometry-optimized Tb5Er12Zr2 structure.

POSCAR file:
```
Tb5Er12Zr2
1.0
-6.991 -2.188 -0.478
6.030 -5.900 -4.819
1.916 -7.340 5.572
Er Tb Zr
12 5 2
direct
0.594 0.685 0.505
0.505 0.011 0.315
0.091 0.685 0.505
0.981 0.963 0.191
0.910 0.312 0.123
0.495 0.989 0.685
0.019 0.037 0.809
0.909 0.315 0.495
0.401 0.312 0.123
0.599 0.688 0.877
0.406 0.315 0.495
0.090 0.688 0.877
0.688 0.375 0.789
0.202 0.404 0.787
0.798 0.596 0.213
0.312 0.625 0.211
0.000 0.000 0.500
0.676 0.000 0.000
0.324 0.000 0.000
```

Results
The energy of formation from the pure elements is 3.28 eV per formula unit.

***

Repeat the first record exactly.
Density functional theory data (PBE-GGA) for a geometry-optimized KBaIr2 structure.

POSCAR file:
```
KBaIr2
1.0
4.934 0.000 0.000
0.000 4.316 0.000
0.000 0.000 4.316
Ba Ir K
1 2 1
direct
0.500 0.000 0.500
0.000 0.500 0.500
0.000 0.000 0.000
0.500 0.500 0.000
```

Results
The energy of formation from the pure elements is 3.30 eV per formula unit.

***

Among the records above, which one has the highest energy of formation from the pure elements? KBaIr2